1.
VASP calculation (SCAN) on a crystal of KCoSi2 relaxed with PBEsol.

Unit cell a=2.758 b=3.665 c=7.245 alpha=90.00 beta=90.11 gamma=90.00
Atoms (fractional coordinates):
K1 0.000 0.000 0.000
Co1 0.005 0.500 0.595
Si1 0.503 0.500 0.333
Si2 0.504 0.000 0.572

SG = Pm
density of states at the Fermi level = 2.38 states/eV/cell
energy relative to the elements, uncorrected = 0.43 eV per formula unit
polymorph energy (0 for the lowest one) = 0.30 eV/f.u.
VASP energy = -45.23 eV/f.u.


2.
VASP calculation (SCAN) on a crystal of Li2InRh relaxed with PBEsol.

Unit cell a=3.180 b=3.180 c=6.167 alpha=90.00 beta=90.00 gamma=90.00
Atoms (fractional coordinates):
Li1 0.000 0.000 0.000
Li2 0.500 0.500 0.250
In1 0.500 0.500 0.707
Rh1 0.000 0.000 0.463

SG = P4mm
density of states at the Fermi level = 1.31 states/eV/cell
VASP energy = -73.13 eV/f.u.
energy of formation = -0.297 eV/atom